This record from the Alexandria database describes crystalline SiBiRh2 at its relaxed geometry. The functional is PBE-GGA.

## Properties
calculated volume: 16.7 Å³ per atom
excess energy over the best structure of this formula in the dataset: 28.0 meV/atom
formation energy (no corrections): 0.01 eV per atom
energy: -23.97 eV/cell
crystal system: cubic
SG: No. 225

Cell: 4.5550 4.5550 4.5550 Å, 60.00 60.00 60.00°
With the nearest neighbours (Å) after each atom.
Fractional coordinates of all 4 atoms:
1 Si 0.0000 0.0000 0.0000  8 Rh 2.79
2 Bi 0.5000 0.5000 0.5000  8 Rh 2.79
3 Rh 0.2500 0.2500 0.2500  4 Bi 2.79, 4 Si 2.79
4 Rh 0.7500 0.7500 0.7500  4 Bi 2.79, 4 Si 2.79


This record from the Alexandria database describes crystalline SiBiRh at its relaxed geometry. The functional is PBE-GGA.

## Properties
calculated volume: 21.4 Å³ per atom
formation energy (no corrections): -0.18 eV per atom
energy: -17.18 eV/cell
crystal system: triclinic
SG: No. 1

Cell: 3.0208 3.1687 7.0487 Å, 77.38 78.01 89.99°
With the nearest neighbours (Å) after each atom.
Fractional coordinates of all 3 atoms:
1 Si 0.0000 0.0000 0.0000  4 Rh 2.41
2 Bi 0.2055 0.2029 0.5813  1 Si 2.81, 1 Rh 2.90, 2 Bi 3.02
3 Rh 0.4270 0.4268 0.1500  4 Si 2.41


This record from the Alexandria database describes crystalline Si2BiRh2 at its relaxed geometry. The functional is PBE-GGA.

## Properties
calculated volume: 17.5 Å³ per atom
excess energy over the best structure of this formula in the dataset: 0.0 meV/atom
formation energy (no corrections): -0.50 eV per atom
energy: -31.91 eV/cell
crystal system: tetragonal
SG: No. 139

Cell: 6.8111 6.8111 6.8111 Å, 148.22 148.22 45.56°
With the nearest neighbours (Å) after each atom.
Fractional coordinates of all 5 atoms:
1 Si 0.2500 0.7500 0.5000  4 Rh 2.38, 4 Si 2.64
2 Si 0.7500 0.2500 0.5000  4 Rh 2.38, 4 Si 2.64
3 Bi 0.0000 0.0000 0.0000  8 Rh 3.11
4 Rh 0.3681 0.3681 0.0000  4 Si 2.38
5 Rh 0.6319 0.6319 0.0000  4 Si 2.38


This record from the Alexandria database describes crystalline SiBi2Rh at its relaxed geometry. The functional is PBE-GGA.

## Properties
calculated volume: 30.4 Å³ per atom
formation energy (no corrections): 0.35 eV per atom
energy: -38.23 eV/cell
crystal system: tetragonal
SG: No. 122

Cell: 7.6448 7.6448 7.6448 Å, 131.80 131.80 70.55°
With the nearest neighbours (Å) after each atom.
Fractional coordinates of all 8 atoms:
1 Si 0.0000 0.0000 0.0000  4 Bi 2.77
2 Si 0.7500 0.2500 0.5000  4 Bi 2.77
3 Bi 0.1427 0.6250 0.0177  2 Rh 2.64, 2 Si 2.77
4 Bi 0.3750 0.3927 0.5177  2 Rh 2.64, 2 Si 2.77
5 Bi 0.6073 0.1250 0.9823  2 Rh 2.64, 2 Si 2.77
6 Bi 0.8750 0.8573 0.4823  2 Rh 2.64, 2 Si 2.77
7 Rh 0.2500 0.7500 0.5000  4 Bi 2.64
8 Rh 0.5000 0.5000 0.0000  4 Bi 2.64


This record from the Alexandria database describes crystalline Si2BiRh2 at its relaxed geometry. The functional is PBE-GGA.

## Properties
calculated volume: 16.5 Å³ per atom
excess energy over the best structure of this formula in the dataset: 246.0 meV/atom
formation energy (no corrections): -0.25 eV per atom
energy: -61.36 eV/cell
crystal system: tetragonal
SG: No. 127

Cell: 7.5425 7.5425 2.9055 Å, 90.00 90.00 90.00°
With the nearest neighbours (Å) after each atom.
Fractional coordinates of all 10 atoms:
1 Si 0.1376 0.3624 0.0000  6 Rh 2.54-2.79
2 Si 0.3624 0.8624 0.0000  6 Rh 2.54-2.79
3 Si 0.6376 0.1376 0.0000  6 Rh 2.54-2.79
4 Si 0.8624 0.6376 0.0000  6 Rh 2.54-2.79
5 Bi 0.0000 0.0000 0.5000  2 Bi 2.91, 4 Rh 2.92
6 Bi 0.5000 0.5000 0.5000  2 Bi 2.91, 4 Rh 2.92
7 Rh 0.1393 0.6393 0.5000  6 Si 2.54-2.79
8 Rh 0.3607 0.1393 0.5000  6 Si 2.54-2.79
9 Rh 0.6393 0.8607 0.5000  6 Si 2.54-2.79
10 Rh 0.8607 0.3607 0.5000  6 Si 2.54-2.79


This record from the Alexandria database describes crystalline SiBiRh at its relaxed geometry. The functional is PBE-GGA.

## Properties
calculated volume: 21.0 Å³ per atom
formation energy (no corrections): -0.13 eV per atom
energy: -17.03 eV/cell
crystal system: orthorhombic
SG: No. 25

Cell: 3.0121 3.7319 5.6006 Å, 90.00 90.00 90.00°
With the nearest neighbours (Å) after each atom.
Fractional coordinates of all 3 atoms:
1 Si 0.0000 0.0000 0.0000  4 Rh 2.42
2 Bi 0.0000 0.5000 0.5422  2 Bi 3.01, 4 Rh 3.08-3.28, 2 Si 3.17
3 Rh 0.5000 0.5000 0.0627  4 Si 2.42